1.
Compound: Dy2P5Ir3
Source: OQMD
Functional: PBE
Structure: optimized geometry

Lattice parameters (Å, degrees): 7.917 7.917 7.917 104.85 93.52 133.02
Atoms (fractional coordinates):
Dy 0.866 0.216 0.082
Dy 0.634 0.716 0.349
Dy 0.366 0.284 0.651
Dy 0.134 0.784 0.918
Ir 0.642 0.394 0.036
Ir 0.142 0.106 0.248
Ir 0.750 0.250 0.500
Ir 0.250 0.750 0.500
Ir 0.858 0.894 0.752
Ir 0.358 0.606 0.964
P 0.250 0.250 0.000
P 0.750 0.750 0.000
P 0.395 0.847 0.243
P 0.526 0.250 0.276
P 0.026 0.750 0.276
P 0.105 0.347 0.452
P 0.895 0.653 0.548
P 0.974 0.250 0.724
P 0.474 0.750 0.724
P 0.605 0.153 0.757

M_tot: 0.003 μB per formula unit
energy: -7.130 eV per atom
ρ: 10.616 g cm⁻³
space-group type: Ibam, No. 72
calculated volume: 16.53 Å³/atom

2.
Compound: TbDyP2Ir2Se2
Source: OQMD
Functional: PBE
Structure: optimized geometry

Lattice parameters (Å, degrees): 4.010 4.010 9.360 90.00 90.00 90.00
Atoms (fractional coordinates):
Dy 0.000 0.000 0.762
Ir 0.500 0.000 0.501
Ir 0.000 0.500 0.501
P 0.000 0.000 0.352
P 0.500 0.500 0.649
Se 0.500 0.000 0.999
Se 0.000 0.500 0.999
Tb 0.500 0.500 0.237

M_tot: 0.000 μB per formula unit
energy: -6.595 eV per atom
ρ: 10.211 g cm⁻³
space-group type: P4mm, No. 99
calculated volume: 18.82 Å³/atom

3.
Compound: Tb2DyIrPd2Pb3
Source: OQMD
Functional: PBE
Structure: optimized geometry

Lattice parameters (Å, degrees): 3.887 7.811 7.811 119.97 90.00 90.00
Atoms (fractional coordinates):
Dy 0.000 0.604 0.604
Ir 0.000 0.999 0.999
Pb 0.500 0.735 0.000
Pb 0.500 0.265 0.265
Pb 0.500 0.000 0.735
Pd 0.500 0.666 0.334
Pd 0.500 0.334 0.666
Tb 0.000 0.396 0.000
Tb 0.000 0.000 0.396

M_tot: 0.014 μB per formula unit
energy: -5.584 eV per atom
ρ: 12.181 g cm⁻³
space-group type: Amm2, No. 38
calculated volume: 22.83 Å³/atom

4.
Compound: DyY2IrPd2Pb3
Source: OQMD
Functional: PBE
Structure: optimized geometry

Lattice parameters (Å, degrees): 3.894 7.795 7.795 119.95 90.00 90.00
Atoms (fractional coordinates):
Dy 0.000 0.603 0.603
Ir 0.000 0.999 0.999
Pb 0.500 0.735 0.000
Pb 0.500 0.264 0.264
Pb 0.500 0.000 0.735
Pd 0.500 0.667 0.335
Pd 0.500 0.335 0.667
Y 0.000 0.397 0.000
Y 0.000 0.000 0.397

M_tot: 0.009 μB per formula unit
energy: -5.994 eV per atom
ρ: 11.071 g cm⁻³
space-group type: Amm2, No. 38
calculated volume: 22.78 Å³/atom

5.
Compound: DyIrPd
Source: OQMD
Functional: PBE
Structure: optimized geometry

Lattice parameters (Å, degrees): 4.522 4.522 4.522 60.00 60.00 60.00
Atoms (fractional coordinates):
Dy 0.750 0.750 0.750
Ir 0.000 0.000 0.000
Pd 0.250 0.250 0.250

M_tot: 0.007 μB per formula unit
E above lowest polymorph: 0.000 eV/atom
energy: -6.450 eV per atom
ρ: 11.709 g cm⁻³
space-group type: F-43m, No. 216
calculated volume: 21.80 Å³/atom

6.
Compound: DyIr2Pd4
Source: OQMD
Functional: PBE
Structure: optimized geometry

Lattice parameters (Å, degrees): 6.190 6.190 6.190 99.09 99.09 133.17
Atoms (fractional coordinates):
Dy 0.000 0.000 0.000
Ir 0.750 0.250 0.500
Ir 0.250 0.750 0.500
Pd 0.721 0.500 0.221
Pd 0.500 0.721 0.221
Pd 0.500 0.279 0.779
Pd 0.279 0.500 0.779

M_tot: 0.002 μB per formula unit
energy: -5.738 eV per atom
ρ: 10.176 g cm⁻³
space-group type: I4/mmm, No. 139
calculated volume: 22.67 Å³/atom

7.
Compound: DyIrPd6
Source: OQMD
Functional: PBE
Structure: optimized geometry

Lattice parameters (Å, degrees): 5.137 5.138 5.139 80.40 80.39 80.38
Atoms (fractional coordinates):
Dy 0.500 0.500 0.500
Ir 0.000 0.000 0.000
Pd 0.502 0.241 0.023
Pd 0.023 0.502 0.241
Pd 0.759 0.976 0.498
Pd 0.241 0.024 0.502
Pd 0.977 0.498 0.759
Pd 0.498 0.759 0.977

M_tot: 0.012 μB per formula unit
energy: -5.725 eV per atom
ρ: 12.639 g cm⁻³
space-group type: R-3, No. 148
calculated volume: 16.31 Å³/atom

8.
Compound: DySi2IrPd
Source: OQMD
Functional: PBE
Structure: optimized geometry

Lattice parameters (Å, degrees): 5.795 5.795 5.795 138.76 138.76 59.74
Atoms (fractional coordinates):
Dy 0.250 0.750 0.500
Ir 0.000 0.000 0.000
Pd 0.500 0.500 0.000
Si 0.633 0.133 0.500
Si 0.867 0.367 0.500

M_tot: 0.001 μB per formula unit
energy: -6.858 eV per atom
ρ: 10.262 g cm⁻³
space-group type: I-4m2, No. 119
calculated volume: 16.74 Å³/atom